Record 1
# PBE NbAg2As, relaxed
data_NbAg2As
_symmetry_space_group_name_H-M 'I -4 2 d'
_symmetry_Int_Tables_number 122
_symmetry_space_group_name_Hall 'I -4 2bw'
_cell_length_a 7.6169
_cell_length_b 7.6169
_cell_length_c 5.2667
_cell_angle_alpha 90.00
_cell_angle_beta 90.00
_cell_angle_gamma 90.00
loop_
_atom_site_label
_atom_site_fract_x
_atom_site_fract_y
_atom_site_fract_z
Nb1 0.0000 0.0000 0.0000
Ag1 0.2234 0.2500 0.6250
As1 0.0000 0.0000 0.5000
# **DOS at the Fermi energy**: 5.467 states/eV per cell
# **DFT total energy**: -4.769 eV/atom
# **Volume**: 76.39 Å³/f.u.
# **ΔH_f (0 K)**: 0.337 eV/atom

---

Record 2
# PBE Nb2AgAs2, relaxed
data_Nb2AgAs2
_symmetry_space_group_name_H-M 'P 4/m b m'
_symmetry_Int_Tables_number 127
_symmetry_space_group_name_Hall '-P 4 2ab'
_cell_length_a 7.3456
_cell_length_b 7.3456
_cell_length_c 3.3579
_cell_angle_alpha 90.00
_cell_angle_beta 90.00
_cell_angle_gamma 90.00
loop_
_atom_site_label
_atom_site_fract_x
_atom_site_fract_y
_atom_site_fract_z
Nb1 0.1402 0.3598 0.0000
Ag1 0.0000 0.0000 0.0000
As1 0.1497 0.6497 0.5000
# **DOS at the Fermi energy**: 8.318 states/eV per cell
# **DFT total energy**: -6.708 eV/atom
# **Volume**: 90.59 Å³/f.u.
# **ΔH_f (0 K)**: -0.250 eV/atom

---

Record 3
# PBE Nb2AgAs, relaxed
data_Nb2AgAs
_symmetry_space_group_name_H-M 'I -4 2 d'
_symmetry_Int_Tables_number 122
_symmetry_space_group_name_Hall 'I -4 2bw'
_cell_length_a 7.2860
_cell_length_b 7.2860
_cell_length_c 5.6473
_cell_angle_alpha 90.00
_cell_angle_beta 90.00
_cell_angle_gamma 90.00
loop_
_atom_site_label
_atom_site_fract_x
_atom_site_fract_y
_atom_site_fract_z
Nb1 0.2256 0.2500 0.1250
Ag1 0.0000 0.0000 0.5000
As1 0.0000 0.0000 0.0000
# **DOS at the Fermi energy**: 4.033 states/eV per cell
# **DFT total energy**: -6.723 eV/atom
# **Volume**: 74.95 Å³/f.u.
# **ΔH_f (0 K)**: 0.187 eV/atom

---

Record 4
# PBE NbAgAs, relaxed
data_NbAgAs
_symmetry_space_group_name_H-M 'P 4/n m m'
_symmetry_Int_Tables_number 129
_cell_length_a 3.7341
_cell_length_b 3.7341
_cell_length_c 7.7156
_cell_angle_alpha 90.00
_cell_angle_beta 90.00
_cell_angle_gamma 90.00
loop_
_symmetry_equiv_pos_as_xyz
'x,y,z'
'-x,-y,-z'
'-y+1/2,x,z'
'y+1/2,-x,-z'
'-x+1/2,-y+1/2,z'
'x+1/2,y+1/2,-z'
'y,-x+1/2,z'
'-y,x+1/2,-z'
'x+1/2,-y,-z'
'-x+1/2,y,z'
'-y,-x,-z'
'y,x,z'
'-x,y+1/2,-z'
'x,-y+1/2,z'
'y+1/2,x+1/2,-z'
'-y+1/2,-x+1/2,z'
loop_
_atom_site_label
_atom_site_fract_x
_atom_site_fract_y
_atom_site_fract_z
Nb1 0.2500 0.2500 0.1379
Ag1 0.2500 0.7500 0.5000
As1 0.2500 0.2500 0.7968
# **DOS at the Fermi energy**: 3.815 states/eV per cell
# **DFT total energy**: -5.945 eV/atom
# **Volume**: 53.79 Å³/f.u.
# **ΔH_f (0 K)**: -0.088 eV/atom

---

Record 5
# PBE NbAg2As2, relaxed
data_NbAg2As2
_symmetry_space_group_name_H-M 'P 4/m b m'
_symmetry_Int_Tables_number 127
_symmetry_space_group_name_Hall '-P 4 2ab'
_cell_length_a 6.9864
_cell_length_b 6.9864
_cell_length_c 3.8246
_cell_angle_alpha 90.00
_cell_angle_beta 90.00
_cell_angle_gamma 90.00
loop_
_atom_site_label
_atom_site_fract_x
_atom_site_fract_y
_atom_site_fract_z
Nb1 0.0000 0.0000 0.0000
Ag1 0.1494 0.3506 0.5000
As1 0.1578 0.6578 0.0000
# **DOS at the Fermi energy**: 6.454 states/eV per cell
# **DFT total energy**: -4.907 eV/atom
# **Volume**: 93.34 Å³/f.u.
# **ΔH_f (0 K)**: 0.107 eV/atom

---

Record 6
# PBE NbAgAs2, relaxed
data_NbAgAs2
_symmetry_space_group_name_H-M 'F m -3 m'
_symmetry_Int_Tables_number 225
_symmetry_space_group_name_Hall '-F 4 2 3'
_cell_length_a 6.5948
_cell_length_b 6.5948
_cell_length_c 6.5948
_cell_angle_alpha 90.00
_cell_angle_beta 90.00
_cell_angle_gamma 90.00
loop_
_atom_site_label
_atom_site_fract_x
_atom_site_fract_y
_atom_site_fract_z
Nb1 0.0000 0.0000 0.0000
Ag1 0.0000 0.0000 0.5000
As1 0.2500 0.2500 0.2500
# **DOS at the Fermi energy**: 17.902 states/eV per cell
# **DFT total energy**: -5.403 eV/atom
# **Volume**: 71.71 Å³/f.u.
# **ΔH_f (0 K)**: 0.152 eV/atom

---

Record 7
# PBE NbAgAs2, relaxed
data_NbAgAs2
_symmetry_space_group_name_H-M 'I -4 2 d'
_symmetry_Int_Tables_number 122
_symmetry_space_group_name_Hall 'I -4 2bw'
_cell_length_a 6.0103
_cell_length_b 6.0103
_cell_length_c 11.4880
_cell_angle_alpha 90.00
_cell_angle_beta 90.00
_cell_angle_gamma 90.00
loop_
_atom_site_label
_atom_site_fract_x
_atom_site_fract_y
_atom_site_fract_z
Nb1 0.0000 0.0000 0.0000
Ag1 0.0000 0.0000 0.5000
As1 0.2297 0.2500 0.1250
# **DOS at the Fermi energy**: 0.169 states/eV per cell
# **DFT total energy**: -5.421 eV/atom
# **Volume**: 103.75 Å³/f.u.
# **ΔH_f (0 K)**: 0.134 eV/atom

---

Record 8
# PBE Nb2AgAs2, relaxed
data_Nb2AgAs2
_symmetry_space_group_name_H-M 'P 4/m b m'
_symmetry_Int_Tables_number 127
_symmetry_space_group_name_Hall '-P 4 2ab'
_cell_length_a 7.3081
_cell_length_b 7.3081
_cell_length_c 3.3096
_cell_angle_alpha 90.00
_cell_angle_beta 90.00
_cell_angle_gamma 90.00
loop_
_atom_site_label
_atom_site_fract_x
_atom_site_fract_y
_atom_site_fract_z
Nb1 0.1428 0.3572 0.0000
Ag1 0.0000 0.0000 0.5000
As1 0.1480 0.6480 0.5000
# **DOS at the Fermi energy**: 7.590 states/eV per cell
# **DFT total energy**: -6.709 eV/atom
# **Volume**: 88.38 Å³/f.u.
# **ΔH_f (0 K)**: -0.251 eV/atom